[1]
PBE Rb2MgPbW, optimized geometry; space group = P4/mmm (123); formation energy from the elements = 27.81 kcal/mol of atoms
1.0
7.121 0.000 0.000
0.000 7.121 0.000
0.000 0.000 5.401
Rb Mg Pb W
2 1 1 1
direct
0.000 0.500 0.000
0.500 0.000 0.000
0.000 0.000 0.500
0.500 0.500 0.000
0.500 0.500 0.500

[2]
PBE SrAc2PmS4, optimized geometry; energy relative to the elements, uncorrected = -2.015 eV per atom; space group = P2/m (10)
1.0
7.329 0.000 0.000
0.000 4.202 0.000
-2.404 0.000 6.925
Sr Ac Pm S
1 2 1 4
direct
0.000 0.000 0.000
0.000 0.500 0.500
0.500 0.000 0.500
0.500 0.500 0.000
0.252 0.500 0.239
0.259 0.000 0.765
0.741 0.000 0.235
0.748 0.500 0.761

[3]
PBE LiGaSn, optimized geometry; space group = Pm (6); formation energy from the elements = -3.69 kcal/mol of atoms
1.0
3.116 0.000 0.000
0.000 4.553 0.000
-1.527 0.000 8.956
Li Ga Sn
2 2 2
direct
0.000 0.000 0.000
0.349 0.000 0.697
0.438 0.500 0.875
0.815 0.500 0.627
0.592 0.500 0.184
0.712 0.000 0.416

[4]
PBE ErTc2Ge2, optimized geometry; space group = C2/m (12); formation energy from the elements = -10.31 kcal/mol of atoms
1.0
10.802 -2.060 0.000
10.802 2.060 0.000
-0.657 0.000 4.138
Er Tc Ge
2 4 4
direct
0.150 0.150 0.364
0.850 0.850 0.636
0.036 0.036 0.778
0.463 0.463 0.719
0.537 0.537 0.281
0.964 0.964 0.222
0.273 0.273 0.158
0.391 0.391 0.159
0.609 0.609 0.841
0.727 0.727 0.842

[5]
PBE Ho12Er7Bi, optimized geometry; space group = R-3 (148); formation energy from the elements = 3.11 kcal/mol of atoms
1.0
5.947 3.434 5.115
-5.947 3.434 5.115
0.000 -6.867 5.115
Ho Er Bi
12 7 1
direct
0.000 0.117 0.642
0.000 0.883 0.358
0.117 0.642 0.000
0.237 0.761 0.635
0.239 0.365 0.763
0.358 0.000 0.883
0.365 0.763 0.239
0.635 0.237 0.761
0.642 0.000 0.117
0.761 0.635 0.237
0.763 0.239 0.365
0.883 0.358 0.000
0.000 0.000 0.000
0.111 0.435 0.352
0.352 0.111 0.435
0.435 0.352 0.111
0.565 0.648 0.889
0.648 0.889 0.565
0.889 0.565 0.648
0.500 0.500 0.500

[6]
PBE DyPuIn2Te4, optimized geometry; energy relative to the elements, uncorrected = -0.829 eV per atom; space group = P2/m (10)
1.0
7.695 0.000 0.000
0.000 4.437 0.000
-2.556 0.000 8.068
Dy Pu In Te
1 1 2 4
direct
0.000 0.000 0.000
0.500 0.500 0.000
0.000 0.500 0.500
0.500 0.000 0.500
0.235 0.500 0.221
0.256 0.000 0.779
0.744 0.000 0.221
0.765 0.500 0.779

[7]
PBE BaAgHg2Pb, optimized geometry; space group = P4/mmm (123); formation energy from the elements = -2.87 kcal/mol of atoms
1.0
5.416 0.000 0.000
0.000 5.416 0.000
0.000 0.000 5.632
Ba Ag Hg Pb
1 1 2 1
direct
0.000 0.000 0.000
0.500 0.500 0.500
0.000 0.500 0.500
0.500 0.000 0.500
0.500 0.500 0.000

[8]
PBE Ho2PuNpP4, optimized geometry; space group = P2/m (10); formation energy from the elements = -29.61 kcal/mol of atoms
1.0
6.877 0.000 0.000
0.000 3.973 0.000
-2.304 0.000 6.494
Ho Pu Np P
2 1 1 4
direct
0.000 0.000 0.000
0.000 0.500 0.500
0.500 0.000 0.500
0.500 0.500 0.000
0.253 0.000 0.754
0.254 0.500 0.250
0.746 0.500 0.750
0.747 0.000 0.246

[9]
PBE Y3Al3Ga, optimized geometry; space group = Imm2 (44); formation energy from the elements = -11.41 kcal/mol of atoms
1.0
-1.894 2.202 9.668
1.894 -2.202 9.668
1.894 2.202 -9.668
Y Al Ga
3 3 1
direct
0.000 0.000 0.000
0.384 0.384 0.000
0.694 0.194 0.500
0.128 0.628 0.500
0.553 0.553 0.000
0.833 0.833 0.000
0.259 0.759 0.500

[10]
PBE Na3Cd2In5, optimized geometry; space group = Ibam (72); formation energy from the elements = -0.87 kcal/mol of atoms
1.0
-6.545 6.717 3.348
6.545 -6.717 3.348
6.545 6.717 -3.348
Na Cd In
6 4 10
direct
0.243 0.617 0.860
0.250 0.250 0.000
0.257 0.117 0.374
0.743 0.883 0.626
0.750 0.750 0.000
0.757 0.383 0.140
0.150 0.860 0.010
0.350 0.360 0.710
0.650 0.640 0.290
0.850 0.140 0.990
0.141 0.372 0.513
0.250 0.006 0.756
0.250 0.494 0.244
0.250 0.750 0.500
0.359 0.872 0.230
0.641 0.128 0.770
0.750 0.250 0.500
0.750 0.506 0.756
0.750 0.994 0.244
0.859 0.628 0.487

[11]
PBE Rb2AlGeBr6, optimized geometry; energy relative to the elements, uncorrected = -1.106 eV per atom; space group = I4/mmm (139)
1.0
-3.873 3.873 5.462
3.873 -3.873 5.462
3.873 3.873 -5.462
Rb Al Ge Br
2 1 1 6
direct
0.250 0.750 0.500
0.750 0.250 0.500
0.000 0.000 0.000
0.500 0.500 0.000
0.240 0.240 0.000
0.241 0.241 0.482
0.241 0.759 0.000
0.759 0.241 0.000
0.759 0.759 0.518
0.760 0.760 0.000

[12]
PBE ErTm2Mg2Sc2, optimized geometry; space group = R-3m (166); formation energy from the elements = 0.40 kcal/mol of atoms
1.0
2.626 1.516 7.685
-2.626 1.516 7.685
0.000 -3.033 7.685
Er Tm Mg Sc
1 2 2 2
direct
0.000 0.000 0.000
0.154 0.154 0.154
0.846 0.846 0.846
0.290 0.290 0.290
0.710 0.710 0.710
0.429 0.429 0.429
0.571 0.571 0.571

[13]
PBE HfGa2Ag, optimized geometry; space group = P4/mmm (123); formation energy from the elements = -6.74 kcal/mol of atoms
1.0
4.196 0.000 0.000
0.000 4.196 0.000
0.000 0.000 3.995
Hf Ga Ag
1 2 1
direct
0.000 0.000 0.000
0.000 0.500 0.500
0.500 0.000 0.500
0.500 0.500 0.000

[14]
PBE Nd2Zr2O7, optimized geometry; energy relative to the elements, uncorrected = -3.032 eV per atom; space group = Fd-3m (227)
1.0
0.000 5.342 5.342
5.342 0.000 5.342
5.342 5.342 0.000
Nd Zr O
4 4 14
direct
0.000 0.000 0.000
0.000 0.000 0.500
0.000 0.500 0.000
0.500 0.000 0.000
0.000 0.500 0.500
0.500 0.000 0.500
0.500 0.500 0.000
0.500 0.500 0.500
0.131 0.131 0.619
0.131 0.619 0.131
0.131 0.619 0.619
0.375 0.375 0.375
0.381 0.381 0.869
0.381 0.869 0.381
0.381 0.869 0.869
0.619 0.131 0.131
0.619 0.131 0.619
0.619 0.619 0.131
0.625 0.625 0.625
0.869 0.381 0.381
0.869 0.381 0.869
0.869 0.869 0.381

[15]
PBE Li3BiBr6, optimized geometry; energy relative to the elements, uncorrected = -1.136 eV per atom; space group = P-1 (2)
1.0
7.860 0.000 0.000
3.920 6.982 0.000
3.921 2.301 6.592
Li Bi Br
3 1 6
direct
0.000 0.000 0.000
0.000 0.000 0.500
0.000 0.500 0.000
0.500 0.500 0.500
0.219 0.273 0.776
0.223 0.780 0.269
0.230 0.754 0.754
0.770 0.246 0.246
0.777 0.220 0.731
0.781 0.727 0.224

[16]
PBE Mg3Ir5, optimized geometry; space group = P6_3/mcm (193); formation energy from the elements = 2.46 kcal/mol of atoms
1.0
7.640 0.000 0.000
-3.820 6.616 0.000
0.000 0.000 4.962
Mg Ir
6 10
direct
0.000 0.399 0.250
0.000 0.601 0.750
0.399 0.000 0.250
0.399 0.399 0.750
0.601 0.000 0.750
0.601 0.601 0.250
0.000 0.203 0.750
0.000 0.797 0.250
0.203 0.000 0.750
0.203 0.203 0.250
0.333 0.667 0.000
0.333 0.667 0.500
0.667 0.333 0.000
0.667 0.333 0.500
0.797 0.000 0.250
0.797 0.797 0.750

[17]
PBE SiRu2W, optimized geometry; energy relative to the elements, uncorrected = 0.044 eV per atom; space group = Cmmm (65)
1.0
1.517 -2.313 0.000
1.517 2.313 0.000
0.000 0.000 8.171
Si Ru W
1 2 1
direct
0.000 0.000 0.000
0.500 0.500 0.227
0.500 0.500 0.773
0.000 0.000 0.500

[18]
PBE Be6AlAu6, optimized geometry; space group = P6/mmm (191); formation energy from the elements = -3.43 kcal/mol of atoms
1.0
4.866 0.000 0.000
-2.433 4.214 0.000
0.000 0.000 8.437
Be Al Au
6 1 6
direct
0.000 0.500 0.248
0.000 0.500 0.752
0.500 0.000 0.248
0.500 0.000 0.752
0.500 0.500 0.248
0.500 0.500 0.752
0.000 0.000 0.000
0.000 0.000 0.323
0.000 0.000 0.677
0.333 0.667 0.000
0.333 0.667 0.500
0.667 0.333 0.000
0.667 0.333 0.500

[19]
PBE Er4Pt2Rh, optimized geometry; space group = R-3m (166); formation energy from the elements = -24.20 kcal/mol of atoms
1.0
2.417 1.395 7.907
-2.417 1.395 7.907
0.000 -2.791 7.907
Er Pt Rh
4 2 1
direct
0.124 0.124 0.124
0.375 0.375 0.375
0.625 0.625 0.625
0.876 0.876 0.876
0.249 0.249 0.249
0.751 0.751 0.751
0.000 0.000 0.000

[20]
PBE Th2NpTl, optimized geometry; space group = P4/mmm (123); formation energy from the elements = 5.88 kcal/mol of atoms
1.0
3.984 0.000 0.000
0.000 3.984 0.000
0.000 0.000 7.252
Th Np Tl
2 1 1
direct
0.000 0.000 0.245
0.000 0.000 0.755
0.500 0.500 0.000
0.500 0.500 0.500

Number 1: DOS(E_F) 0.90 states/eV per atom, total moment 0.771 μB per atom. Number 2: DOS(E_F) 0.43 states/eV per atom, total moment 0.000 μB per atom. Number 3: DOS(E_F) 0.40 states/eV per atom, total moment 0.000 μB per atom. Number 4: DOS(E_F) 0.39 states/eV per atom, total moment 0.000 μB per atom. Number 5: DOS(E_F) 1.75 states/eV per atom, total moment 0.000 μB per atom. Number 6: DOS(E_F) 1.84 states/eV per atom, total moment 0.634 μB per atom. Number 7: DOS(E_F) 0.70 states/eV per atom, total moment 0.000 μB per atom. Number 8: DOS(E_F) 2.68 states/eV per atom, total moment 0.192 μB per atom. Number 9: DOS(E_F) 0.71 states/eV per atom, total moment 0.104 μB per atom. Number 10: DOS(E_F) 0.33 states/eV per atom, total moment 0.000 μB per atom. Number 11: DOS(E_F) 0.31 states/eV per atom, total moment 0.000 μB per atom. Number 12: DOS(E_F) 1.19 states/eV per atom, total moment 0.000 μB per atom. Number 13: DOS(E_F) 0.31 states/eV per atom, total moment 0.000 μB per atom. Number 14: DOS(E_F) 0.10 states/eV per atom, total moment 0.000 μB per atom. Number 15: DOS(E_F) 0.00 states/eV per atom, total moment 0.000 μB per atom. Number 16: DOS(E_F) 0.74 states/eV per atom, total moment 0.000 μB per atom. Number 17: DOS(E_F) 0.89 states/eV per atom, total moment 0.000 μB per atom. Number 18: DOS(E_F) 0.21 states/eV per atom, total moment 0.000 μB per atom. Number 19: DOS(E_F) 0.53 states/eV per atom, total moment 0.000 μB per atom. Number 20: DOS(E_F) 3.01 states/eV per atom, total moment 1.232 μB per atom.